The following is a DFT calculation (PBE) of crystalline K2ZnW2 at its relaxed geometry.

Computed properties:
Calculated formation energy   8.77 eV/f.u.
Calculated total energy   -4.12 eV per atom

a b c (Å): 3.853 3.853 15.939
angles (deg): 90.00 90.00 90.00
Atoms (fractional coordinates):
K 0.000 0.500 0.250
K 0.000 0.500 0.750
K 0.500 0.000 0.250
K 0.500 0.000 0.750
Zn 0.000 0.000 0.000
Zn 0.500 0.500 0.500
W 0.000 0.000 0.431
W 0.000 0.000 0.569
W 0.500 0.500 0.069
W 0.500 0.500 0.931

The following is a DFT calculation (PBE) of crystalline SrLiTl at its relaxed geometry.

Computed properties:
Calculated formation energy   -0.86 eV/f.u.
Calculated total energy   -2.27 eV per atom

a b c (Å): 4.762 4.762 8.025
angles (deg): 90.00 90.00 90.00
Atoms (fractional coordinates):
Sr 0.250 0.250 0.162
Sr 0.750 0.750 0.838
Li 0.250 0.750 0.500
Li 0.750 0.250 0.500
Tl 0.250 0.250 0.711
Tl 0.750 0.750 0.289

The following is a DFT calculation (PBE) of crystalline CsPO3 at its relaxed geometry.

Computed properties:
E_form (uncorrected)   -2.268 eV/atom
Calculated total energy   -6.50 eV per atom

a b c (Å): 4.741 7.690 11.786
angles (deg): 101.23 91.24 90.14
Atoms (fractional coordinates):
Cs 0.247 0.180 0.429
Cs 0.250 0.748 0.904
Cs 0.750 0.252 0.096
Cs 0.753 0.820 0.571
P 0.219 0.635 0.281
P 0.286 0.183 0.804
P 0.714 0.817 0.196
P 0.781 0.365 0.719
O 0.097 0.347 0.774
O 0.231 0.162 0.926
O 0.247 0.745 0.400
O 0.264 0.024 0.708
O 0.274 0.439 0.260
O 0.403 0.723 0.189
O 0.597 0.277 0.811
O 0.726 0.561 0.740
O 0.736 0.976 0.292
O 0.753 0.255 0.600
O 0.769 0.838 0.074
O 0.903 0.653 0.226

The following is a DFT calculation (PBE) of crystalline KMgSe at its relaxed geometry.

Computed properties:
E_form (uncorrected)   -0.808 eV/atom
Calculated total energy   -2.87 eV per atom

a b c (Å): 3.931 6.823 7.478
angles (deg): 71.46 89.96 89.96
Atoms (fractional coordinates):
K 0.000 0.000 0.000
K 0.000 0.430 0.289
Mg 0.001 0.546 0.722
Mg 0.502 0.935 0.575
Se 0.500 0.296 0.654
Se 0.501 0.646 0.927

The following is a DFT calculation (PBE) of crystalline LaDy6Ho5 at its relaxed geometry.

Computed properties:
Calculated formation energy   0.25 eV/f.u.
Calculated total energy   -4.60 eV per atom

a b c (Å): 6.151 6.151 11.785
angles (deg): 94.98 94.98 119.97
Atoms (fractional coordinates):
La 0.000 0.000 0.000
Dy 0.084 0.418 0.253
Dy 0.251 0.251 0.747
Dy 0.418 0.084 0.253
Dy 0.582 0.916 0.747
Dy 0.749 0.749 0.253
Dy 0.916 0.582 0.747
Ho 0.167 0.833 0.500
Ho 0.333 0.667 0.000
Ho 0.500 0.500 0.500
Ho 0.667 0.333 0.000
Ho 0.833 0.167 0.500

The following is a DFT calculation (PBE) of crystalline TmRe4Mo at its relaxed geometry.

Computed properties:
Calculated formation energy   0.37 eV/f.u.
Calculated total energy   -10.79 eV per atom

a b c (Å): 5.260 5.260 5.260
angles (deg): 60.00 60.00 60.00
Atoms (fractional coordinates):
Tm 0.000 0.000 0.000
Re 0.374 0.374 0.374
Re 0.374 0.374 0.877
Re 0.374 0.877 0.374
Re 0.877 0.374 0.374
Mo 0.750 0.750 0.750

The following is a DFT calculation (PBE) of crystalline Cs4Nd3InSe8 at its relaxed geometry.

Computed properties:
E_form (uncorrected)   -1.471 eV/atom
Calculated total energy   -4.49 eV per atom

a b c (Å): 9.804 9.804 9.804
angles (deg): 52.80 52.80 52.80
Atoms (fractional coordinates):
Cs 0.000 0.000 0.000
Cs 0.000 0.500 0.500
Cs 0.500 0.000 0.500
Cs 0.500 0.500 0.000
Nd 0.000 0.000 0.500
Nd 0.000 0.500 0.000
Nd 0.500 0.000 0.000
In 0.500 0.500 0.500
Se 0.230 0.230 0.230
Se 0.240 0.724 0.724
Se 0.276 0.276 0.760
Se 0.276 0.760 0.276
Se 0.724 0.240 0.724
Se 0.724 0.724 0.240
Se 0.760 0.276 0.276
Se 0.770 0.770 0.770

The following is a DFT calculation (PBE) of crystalline PmNd2Zr at its relaxed geometry.

Computed properties:
Calculated formation energy   1.33 eV/f.u.
Calculated total energy   -5.38 eV per atom

a b c (Å): 3.440 3.440 36.827
angles (deg): 90.00 90.00 120.00
Atoms (fractional coordinates):
Pm 0.000 0.000 0.000
Pm 0.333 0.667 0.667
Pm 0.667 0.333 0.333
Nd 0.000 0.000 0.415
Nd 0.000 0.000 0.585
Nd 0.333 0.667 0.082
Nd 0.333 0.667 0.251
Nd 0.667 0.333 0.749
Nd 0.667 0.333 0.918
Zr 0.000 0.000 0.500
Zr 0.333 0.667 0.167
Zr 0.667 0.333 0.833

The following is a DFT calculation (PBE) of crystalline Sr6PdRh2 at its relaxed geometry.

Computed properties:
Calculated formation energy   -2.33 eV/f.u.
Calculated total energy   -3.59 eV per atom

a b c (Å): 7.407 7.407 7.028
angles (deg): 90.00 90.00 120.00
Atoms (fractional coordinates):
Sr 0.000 0.339 0.239
Sr 0.000 0.661 0.761
Sr 0.339 0.000 0.239
Sr 0.339 0.339 0.761
Sr 0.661 0.000 0.761
Sr 0.661 0.661 0.239
Pd 0.000 0.000 0.500
Rh 0.333 0.667 0.000
Rh 0.667 0.333 0.000

The following is a DFT calculation (PBE) of crystalline AgW at its relaxed geometry.

Computed properties:
Calculated formation energy   1.46 eV/f.u.
Calculated total energy   -7.17 eV per atom

a b c (Å): 4.774 8.545 4.939
angles (deg): 90.00 90.00 90.00
Atoms (fractional coordinates):
Ag 0.250 0.086 0.074
Ag 0.250 0.250 0.575
Ag 0.250 0.414 0.074
Ag 0.750 0.586 0.926
Ag 0.750 0.750 0.425
Ag 0.750 0.914 0.926
W 0.250 0.586 0.578
W 0.250 0.750 0.132
W 0.250 0.914 0.578
W 0.750 0.086 0.422
W 0.750 0.250 0.868
W 0.750 0.414 0.422

The following is a DFT calculation (PBE) of crystalline Ti2Al2Os3 at its relaxed geometry.

Computed properties:
Calculated formation energy   -3.57 eV/f.u.
Calculated total energy   -8.65 eV per atom

a b c (Å): 7.446 4.302 6.849
angles (deg): 90.00 111.35 90.00
Atoms (fractional coordinates):
Ti 0.216 0.000 0.146
Ti 0.284 0.500 0.854
Ti 0.716 0.500 0.146
Ti 0.784 0.000 0.854
Al 0.138 0.500 0.413
Al 0.362 0.000 0.587
Al 0.638 0.000 0.413
Al 0.862 0.500 0.587
Os 0.000 0.500 0.000
Os 0.071 0.000 0.714
Os 0.429 0.500 0.286
Os 0.500 0.000 0.000
Os 0.571 0.500 0.714
Os 0.929 0.000 0.286

The following is a DFT calculation (PBE) of crystalline Cs2PdSe at its relaxed geometry.

Computed properties:
E_form (uncorrected)   -0.560 eV/atom
Calculated total energy   -3.16 eV per atom

a b c (Å): 12.525 12.525 4.920
angles (deg): 90.00 90.00 90.00
Atoms (fractional coordinates):
Cs 0.076 0.750 0.125
Cs 0.250 0.076 0.875
Cs 0.250 0.424 0.375
Cs 0.424 0.750 0.625
Cs 0.576 0.250 0.625
Cs 0.750 0.576 0.375
Cs 0.750 0.924 0.875
Cs 0.924 0.250 0.125
Pd 0.000 0.000 0.000
Pd 0.000 0.500 0.250
Pd 0.500 0.000 0.750
Pd 0.500 0.500 0.500
Se 0.000 0.000 0.500
Se 0.000 0.500 0.750
Se 0.500 0.000 0.250
Se 0.500 0.500 0.000

What is the formula in the fourth record? KMgSe